[1]
# PBE Sm2TmTi, relaxed
# Crystal system: tetragonal
# Formation energy in eV per atom: 0.1878
# E_tot in eV for the cell shown: -21.1
# Calculated volume in Å³/cell: 112.3
data_Sm2TmTi
_chemical_formula_sum 'Sm2 Tm1 Ti1'
_cell_length_a 3.455
_cell_length_b 3.455
_cell_length_c 9.406
_cell_angle_alpha 90.00
_cell_angle_beta 90.00
_cell_angle_gamma 90.00
_symmetry_space_group_name_H-M 'P 1'
_symmetry_Int_Tables_number 1
loop_
_symmetry_equiv_pos_as_xyz
'x,y,z'
loop_
_atom_site_label
_atom_site_fract_x
_atom_site_fract_y
_atom_site_fract_z
Sm1 0.000 0.000 0.224
Sm2 0.000 0.000 0.776
Tm1 0.500 0.500 0.500
Ti1 0.500 0.500 0.000

---

[2]
# PBE SmTmTi, relaxed
# Crystal system: tetragonal
# Formation energy in eV per atom: 0.2049
# E_tot in eV for the cell shown: -16.5
# Calculated volume in Å³/cell: 79.5
# Offset from the most stable computed form in meV/atom: 126
data_SmTmTi
_chemical_formula_sum 'Sm1 Tm1 Ti1'
_cell_length_a 7.451
_cell_length_b 7.451
_cell_length_c 7.451
_cell_angle_alpha 153.97
_cell_angle_beta 153.97
_cell_angle_gamma 37.14
_symmetry_space_group_name_H-M 'P 1'
_symmetry_Int_Tables_number 1
loop_
_symmetry_equiv_pos_as_xyz
'x,y,z'
loop_
_atom_site_label
_atom_site_fract_x
_atom_site_fract_y
_atom_site_fract_z
Sm1 0.000 0.000 0.000
Tm1 0.302 0.302 0.000
Ti1 0.656 0.656 0.000

---

[3]
# PBE SmTi2V, relaxed
# Crystal system: tetragonal
# Formation energy in eV per atom: 0.1926
# E_tot in eV for the cell shown: -28.9
# Calculated volume in Å³/cell: 78.9
data_SmTi2V
_chemical_formula_sum 'Sm1 Ti2 V1'
_cell_length_a 3.249
_cell_length_b 3.249
_cell_length_c 7.480
_cell_angle_alpha 90.00
_cell_angle_beta 90.00
_cell_angle_gamma 90.00
_symmetry_space_group_name_H-M 'P 1'
_symmetry_Int_Tables_number 1
loop_
_symmetry_equiv_pos_as_xyz
'x,y,z'
loop_
_atom_site_label
_atom_site_fract_x
_atom_site_fract_y
_atom_site_fract_z
Sm1 0.000 0.000 0.000
Ti1 0.500 0.500 0.312
Ti2 0.500 0.500 0.688
V1 0.000 0.000 0.500

---

[4]
# PBE Sm2YTi, relaxed
# Crystal system: tetragonal
# Formation energy in eV per atom: 0.1976
# E_tot in eV for the cell shown: -23.0
# Calculated volume in Å³/cell: 117.3
# Offset from the most stable computed form in meV/atom: 0
data_Sm2YTi
_chemical_formula_sum 'Sm2 Y1 Ti1'
_cell_length_a 3.680
_cell_length_b 3.680
_cell_length_c 8.664
_cell_angle_alpha 90.00
_cell_angle_beta 90.00
_cell_angle_gamma 90.00
_symmetry_space_group_name_H-M 'P 1'
_symmetry_Int_Tables_number 1
loop_
_symmetry_equiv_pos_as_xyz
'x,y,z'
loop_
_atom_site_label
_atom_site_fract_x
_atom_site_fract_y
_atom_site_fract_z
Sm1 0.000 0.000 0.212
Sm2 0.000 0.000 0.788
Y1 0.500 0.500 0.500
Ti1 0.500 0.500 0.000

---

[5]
# PBE SmYTi, relaxed
# Crystal system: tetragonal
# Formation energy in eV per atom: 0.0950
# E_tot in eV for the cell shown: -37.6
# Calculated volume in Å³/cell: 166.6
data_SmYTi
_chemical_formula_sum 'Sm2 Y2 Ti2'
_cell_length_a 3.578
_cell_length_b 3.578
_cell_length_c 13.010
_cell_angle_alpha 90.00
_cell_angle_beta 90.00
_cell_angle_gamma 90.00
_symmetry_space_group_name_H-M 'P 1'
_symmetry_Int_Tables_number 1
loop_
_symmetry_equiv_pos_as_xyz
'x,y,z'
loop_
_atom_site_label
_atom_site_fract_x
_atom_site_fract_y
_atom_site_fract_z
Sm1 0.250 0.250 0.097
Sm2 0.750 0.750 0.903
Y1 0.250 0.250 0.695
Y2 0.750 0.750 0.305
Ti1 0.250 0.250 0.458
Ti2 0.750 0.750 0.542

---

[6]
# PBE Sm2YTi, relaxed
# Crystal system: trigonal
# Formation energy in eV per atom: 0.4507
# E_tot in eV for the cell shown: -22.0
# Calculated volume in Å³/cell: 118.2
# Offset from the most stable computed form in meV/atom: 253
data_Sm2YTi
_chemical_formula_sum 'Sm2 Y1 Ti1'
_cell_length_a 12.022
_cell_length_b 12.022
_cell_length_c 12.022
_cell_angle_alpha 16.22
_cell_angle_beta 16.22
_cell_angle_gamma 16.22
_symmetry_space_group_name_H-M 'P 1'
_symmetry_Int_Tables_number 1
loop_
_symmetry_equiv_pos_as_xyz
'x,y,z'
loop_
_atom_site_label
_atom_site_fract_x
_atom_site_fract_y
_atom_site_fract_z
Sm1 0.083 0.083 0.083
Sm2 0.917 0.917 0.917
Y1 0.500 0.500 0.500
Ti1 0.000 0.000 0.000

---

[7]
# PBE SmTiZn4, relaxed
# Crystal system: cubic
# Formation energy in eV per atom: -0.1984
# E_tot in eV for the cell shown: -18.9
# Calculated volume in Å³/cell: 106.4
data_SmTiZn4
_chemical_formula_sum 'Sm1 Ti1 Zn4'
_cell_length_a 5.319
_cell_length_b 5.319
_cell_length_c 5.319
_cell_angle_alpha 60.00
_cell_angle_beta 60.00
_cell_angle_gamma 60.00
_symmetry_space_group_name_H-M 'P 1'
_symmetry_Int_Tables_number 1
loop_
_symmetry_equiv_pos_as_xyz
'x,y,z'
loop_
_atom_site_label
_atom_site_fract_x
_atom_site_fract_y
_atom_site_fract_z
Sm1 0.000 0.000 0.000
Ti1 0.750 0.750 0.750
Zn1 0.376 0.376 0.376
Zn2 0.376 0.376 0.872
Zn3 0.376 0.872 0.376
Zn4 0.872 0.376 0.376

---

[8]
# PBE SmTiZn, relaxed
# Crystal system: tetragonal
# Formation energy in eV per atom: -0.0148
# E_tot in eV for the cell shown: -27.9
# Calculated volume in Å³/cell: 128.7
# Offset from the most stable computed form in meV/atom: 8
data_SmTiZn
_chemical_formula_sum 'Sm2 Ti2 Zn2'
_cell_length_a 3.354
_cell_length_b 3.354
_cell_length_c 11.447
_cell_angle_alpha 90.00
_cell_angle_beta 90.00
_cell_angle_gamma 90.00
_symmetry_space_group_name_H-M 'P 1'
_symmetry_Int_Tables_number 1
loop_
_symmetry_equiv_pos_as_xyz
'x,y,z'
loop_
_atom_site_label
_atom_site_fract_x
_atom_site_fract_y
_atom_site_fract_z
Sm1 0.000 0.000 0.184
Sm2 0.000 0.000 0.816
Ti1 0.500 0.500 0.375
Ti2 0.500 0.500 0.625
Zn1 0.000 0.000 0.500
Zn2 0.500 0.500 0.000

---

no.,magnetic moment (μB/cell)
1,0.0
2,0.0
3,0.0
4,1.4
5,0.0
6,1.6
7,2.0
8,0.0